a) The following is a PBE-GGA calculation of Ba3SeN after structural relaxation, from Alexandria via LeMat-Bulk.

Computed properties:
As for the magnetization: 0.0 μB per cell.

abc: 15.5373 12.6126 7.7890
angles: 90.00 97.89 90.00
Last column: nearest neighbours and their distance in Å.
Space group C2/c (No. 15)
Unique sites:
Ba (0.1309, 0.0822, 0.1165) (multiplicity 8)  1 N 2.76
Ba (0.1429, 0.2402, 0.5882) (multiplicity 8)  1 N 2.62
Ba (0.1642, 0.4433, 0.1640) (multiplicity 8)  2 N 2.65-2.83
Se (0.0000, 0.0919, 0.7500) (multiplicity 4)  6 Ba 3.26-3.28
Se (0.0000, 0.2903, 0.2500) (multiplicity 4)  6 Ba 3.27-3.56
N (0.2392, 0.0772, 0.5298) (multiplicity 8)  4 Ba 2.62-2.83

b) The following is a PBE-GGA calculation of Ba3SeN after structural relaxation, from Alexandria via LeMat-Bulk.

Computed properties:
As for the magnetization: 0.0 μB per cell.

abc: 5.4985 5.4985 5.4985
angles: 90.00 90.00 90.00
Last column: nearest neighbours and their distance in Å.
Space group Pm-3m (No. 221)
Unique sites:
Ba (0.0000, 0.0000, 0.5000) (multiplicity 3)  2 N 2.75
Se (0.5000, 0.5000, 0.5000) (multiplicity 1)  12 Ba 3.89
N (0.0000, 0.0000, 0.0000) (multiplicity 1)  6 Ba 2.75

Which of them is most stable? Easy: a).

a) The following is a PBE-GGA calculation of Ba4Se2N after structural relaxation, from Alexandria via LeMat-Bulk.

Computed properties:
As for the magnetization: 1.9 μB per cell.

abc: 16.6869 4.4015 7.7485
angles: 90.00 117.10 90.00
Last column: nearest neighbours and their distance in Å.
Space group C2/m (No. 12)
Unique sites:
Ba (0.1130, 0.0000, 0.3213) (multiplicity 4)  1 N 2.80
Ba (0.1150, 0.5000, 0.7553) (multiplicity 4)  2 N 3.00, 1 Se 3.32
Se (0.2311, 0.5000, 0.2354) (multiplicity 4)  6 Ba 3.22-3.36
N (0.0000, 0.0000, 0.5000) (multiplicity 2)  6 Ba 2.80-3.00

b) The following is a PBE-GGA calculation of Ba4Se2N after structural relaxation, from Alexandria via LeMat-Bulk.

Computed properties:
As for the magnetization: 0.0 μB per cell.

abc: 5.4636 5.4636 16.5564
angles: 90.00 90.00 90.00
Last column: nearest neighbours and their distance in Å.
Space group I4/mmm (No. 139)
Unique sites:
Ba (0.0000, 0.0000, 0.1700) (multiplicity 4)  1 N 2.81
Ba (0.0000, 0.5000, 0.0000) (multiplicity 4)  2 N 2.73
Se (0.0000, 0.0000, 0.3671) (multiplicity 4)  5 Ba 3.26-3.51
N (0.0000, 0.0000, 0.0000) (multiplicity 2)  6 Ba 2.73-2.81

Which of them is most stable? Easy: a).

a) The following is a PBE-GGA calculation of BaSeN after structural relaxation, from Alexandria via LeMat-Bulk.

Computed properties:
As for the magnetization: 0.0 μB per cell.

abc: 9.7515 5.8496 6.6582
angles: 90.00 91.05 90.00
Last column: nearest neighbours and their distance in Å.
Space group C2/m (No. 12)
Unique sites:
Ba (0.1731, 0.0000, 0.2498) (multiplicity 4)  1 N 3.01, 4 Se 3.27-3.32
Se (0.1669, 0.0000, 0.7578) (multiplicity 4)  5 Ba 3.27-3.38, 3 N 3.43-3.44
N (0.0507, 0.5000, 0.5416) (multiplicity 4)  1 N 1.12

b) The following is a PBE-GGA calculation of BaSeN after structural relaxation, from Alexandria via LeMat-Bulk.

Computed properties:
As for the magnetization: 3.6 μB per cell.

abc: 9.4681 4.4376 8.4587
angles: 90.00 116.34 90.00
Last column: nearest neighbours and their distance in Å.
Space group C2/m (No. 12)
Unique sites:
Ba (0.0835, 0.0000, 0.2870) (multiplicity 4)  3 N 2.95-2.97
Se (0.1346, 0.5000, 0.0142) (multiplicity 4)  1 Se 2.45
N (0.0701, 0.5000, 0.5126) (multiplicity 4)  1 N 1.25

c) The following is a PBE-GGA calculation of BaSeN after structural relaxation, from Alexandria via LeMat-Bulk.

Computed properties:
As for the magnetization: 0.0 μB per cell.

abc: 10.6344 4.6572 9.2937
angles: 90.00 100.04 90.00
Last column: nearest neighbours and their distance in Å.
Space group P2_1/c (No. 14)
Unique sites:
Ba (0.1536, 0.2504, 0.4055) (multiplicity 4)  1 N 3.27, 5 Se 3.27-3.29
Se (0.1589, 0.7499, 0.1567) (multiplicity 4)  5 Ba 3.27-3.29
N (0.4519, 0.0499, 0.4855) (multiplicity 4)  1 N 1.11

Which of them is most stable? Easy: c).

a) The following is a PBE-GGA calculation of BaSiSeN2 after structural relaxation, from Alexandria via LeMat-Bulk.

Computed properties:
As for the magnetization: 1.7 μB per cell.

abc: 4.1371 4.1371 4.9401
angles: 90.00 90.00 90.00
Last column: nearest neighbours and their distance in Å.
Space group P4/mmm (No. 123)
Unique sites:
Ba (0.0000, 0.0000, 0.0000) (multiplicity 1)  4 Se 2.93, 8 N 3.22
Si (0.5000, 0.5000, 0.5000) (multiplicity 1)  4 N 2.07
Se (0.5000, 0.5000, 0.0000) (multiplicity 1)  2 Si 2.47
N (0.0000, 0.5000, 0.5000) (multiplicity 2)  2 Si 2.07

b) The following is a PBE-GGA calculation of BaSiSeN2 after structural relaxation, from Alexandria via LeMat-Bulk.

Computed properties:
As for the magnetization: 0.4 μB per cell.

abc: 4.4617 4.4617 4.6388
angles: 90.00 90.00 90.00
Last column: nearest neighbours and their distance in Å.
Space group P4/mmm (No. 123)
Unique sites:
Ba (0.0000, 0.0000, 0.0000) (multiplicity 1)  4 Si 3.15, 8 N 3.22
Si (0.5000, 0.5000, 0.0000) (multiplicity 1)  2 Se 2.32
Se (0.5000, 0.5000, 0.5000) (multiplicity 1)  4 N 2.23, 2 Si 2.32
N (0.0000, 0.5000, 0.5000) (multiplicity 2)  2 Se 2.23

Which of them is most stable? Easy: a).

a) The following is a PBE-GGA calculation of BaSnSeN2 after structural relaxation, from Alexandria via LeMat-Bulk.

Computed properties:
As for the magnetization: 2.3 μB per cell.

abc: 4.6521 4.6521 6.5896
angles: 90.00 90.00 90.00
Last column: nearest neighbours and their distance in Å.
Space group P4/mmm (No. 123)
Unique sites:
Ba (0.0000, 0.0000, 0.0000) (multiplicity 1)  4 N 2.33
Sn (0.5000, 0.5000, 0.5000) (multiplicity 1)  4 Se 3.29
Se (0.0000, 0.0000, 0.5000) (multiplicity 1)  4 Sn 3.29, 2 Ba 3.29
N (0.0000, 0.5000, 0.0000) (multiplicity 2)  2 Ba 2.33

b) The following is a PBE-GGA calculation of BaSnSeN2 after structural relaxation, from Alexandria via LeMat-Bulk.

Computed properties:
As for the magnetization: 2.1 μB per cell.

abc: 4.4405 4.4405 5.4595
angles: 90.00 90.00 90.00
Last column: nearest neighbours and their distance in Å.
Space group P4/mmm (No. 123)
Unique sites:
Ba (0.0000, 0.0000, 0.0000) (multiplicity 1)  4 Se 3.14
Sn (0.5000, 0.5000, 0.5000) (multiplicity 1)  4 N 2.22
Se (0.5000, 0.5000, 0.0000) (multiplicity 1)  2 Sn 2.73
N (0.0000, 0.5000, 0.5000) (multiplicity 2)  2 Sn 2.22

Which of them is most stable? Easy: b).

a) The following is a PBE-GGA calculation of BaSrSeN2 after structural relaxation, from Alexandria via LeMat-Bulk.

Computed properties:
As for the magnetization: 2.3 μB per cell.

abc: 4.7443 4.7443 6.5088
angles: 90.00 90.00 90.00
Last column: nearest neighbours and their distance in Å.
Space group P4/mmm (No. 123)
Unique sites:
Ba (0.0000, 0.0000, 0.0000) (multiplicity 1)  4 N 2.37
Sr (0.5000, 0.5000, 0.5000) (multiplicity 1)  4 Se 3.35
Se (0.0000, 0.0000, 0.5000) (multiplicity 1)  2 Ba 3.25, 4 Sr 3.35
N (0.0000, 0.5000, 0.0000) (multiplicity 2)  2 Ba 2.37

b) The following is a PBE-GGA calculation of BaSrSeN2 after structural relaxation, from Alexandria via LeMat-Bulk.

Computed properties:
As for the magnetization: 4.0 μB per cell.

abc: 4.9135 4.9135 5.9843
angles: 90.00 90.00 90.00
Last column: nearest neighbours and their distance in Å.
Space group P4/mmm (No. 123)
Unique sites:
Ba (0.0000, 0.0000, 0.0000) (multiplicity 1)  4 Se 3.47, 8 N 3.87
Sr (0.5000, 0.5000, 0.5000) (multiplicity 1)  4 N 2.46
Se (0.5000, 0.5000, 0.0000) (multiplicity 1)  2 Sr 2.99
N (0.0000, 0.5000, 0.5000) (multiplicity 2)  2 Sr 2.46

Which of them is most stable? Easy: b).